Record 1
Computed, not measured: a relaxed structure of Ba7NaBi2O2 at the PBE level of DFT.

Values from the calculation:
Its uncorrected formation energy is -1195 meV/atom. Its space group is I4/mmm, No. 139. The total moment comes out at 0.00 μB per atom.

extended XYZ file:
```
12
Lattice="5.415 -0.003 0.015 0.003 5.415 0.015 2.662 2.659 16.692" Properties=species:S:1:pos:R:3 pbc="T T T"
Ba 5.406 2.694 3.762
Ba 2.701 5.403 3.762
Ba 2.674 5.377 12.959
Ba 5.380 2.668 12.959
Ba 2.709 2.706 0.015
Ba 2.690 2.687 6.821
Ba 5.391 5.384 9.901
Na 0.000 0.000 0.000
O 5.383 5.377 12.538
O 2.697 2.694 4.183
Bi 2.679 2.676 10.511
Bi 5.401 5.395 6.211
```


Record 2
Computed, not measured: a relaxed structure of Ba3NaBi2O9 at the PBE level of DFT.

Values from the calculation:
Its uncorrected formation energy is -1675 meV/atom. Its space group is P-3m1, No. 164. The total moment comes out at 0.07 μB per atom.

extended XYZ file:
```
15
Lattice="6.129 0.000 0.000 -3.064 5.307 0.000 0.000 0.000 7.612" Properties=species:S:1:pos:R:3 pbc="T T T"
Ba 0.000 3.538 4.960
Ba 3.064 1.769 2.652
Ba 0.000 0.000 0.000
O 3.064 0.000 0.000
O -1.532 2.654 0.000
O 1.532 2.654 0.000
O 1.574 0.909 5.164
O -1.490 4.399 2.448
O 1.490 4.399 2.448
O 4.555 0.909 5.164
O 3.064 3.490 5.164
O 0.000 1.817 2.448
Bi 3.064 1.769 6.327
Bi 0.000 3.538 1.286
Na 0.000 0.000 3.806
```


Record 3
Computed, not measured: a relaxed structure of Ba3NaBi2O6 at the PBE level of DFT.

Values from the calculation:
Its uncorrected formation energy is -1811 meV/atom. Its space group is P-3m1, No. 164. The total moment comes out at 0.00 μB per atom.

extended XYZ file:
```
12
Lattice="-5.337 -0.698 3.206 2.785 -4.988 -2.572 3.713 -1.002 5.963" Properties=species:S:1:pos:R:3 pbc="T T T"
O 2.476 -4.539 0.210
O 1.146 -2.157 1.438
O -0.072 -4.872 1.741
O -1.314 -2.149 6.388
O 1.234 -1.815 4.857
O 0.015 -4.530 5.160
Ba -1.180 -2.519 3.609
Ba 0.000 0.000 0.000
Ba 2.341 -4.168 2.989
Bi 0.547 -3.685 0.108
Bi 0.614 -3.003 6.490
Na 1.857 -0.501 2.982
```


Record 4
Computed, not measured: a relaxed structure of Ba4NaBi3O12 at the PBE level of DFT.

Values from the calculation:
Its uncorrected formation energy is -1764 meV/atom. Its space group is Im-3m, No. 229. The total moment comes out at 0.00 μB per atom.

extended XYZ file:
```
20
Lattice="7.534 0.000 0.000 -2.511 7.103 0.000 -2.511 -3.551 6.151" Properties=species:S:1:pos:R:3 pbc="T T T"
Ba -1.256 -1.776 3.076
Ba 1.256 1.776 3.076
Ba 3.767 0.000 0.000
Ba -1.256 3.551 0.000
Bi -2.511 1.776 3.076
Bi 2.511 3.551 0.000
Bi 2.511 -1.776 3.076
O -3.691 2.610 4.521
O 3.691 5.220 0.000
O -1.331 0.941 1.631
O -1.256 3.551 3.076
O 1.331 -0.941 1.631
O 1.331 1.883 0.000
O 3.691 -2.610 4.521
O 3.767 2.664 1.538
O 3.767 0.000 3.076
O 1.256 -0.888 4.614
O -1.256 0.888 4.614
O 1.256 4.439 1.538
Na 0.000 0.000 0.000
```


Record 5
Computed, not measured: a relaxed structure of BaNaPrBiO6 at the PBE level of DFT.

Values from the calculation:
Its uncorrected formation energy is -1838 meV/atom. Its space group is F-43m, No. 216. The total moment comes out at 0.11 μB per atom.

extended XYZ file:
```
10
Lattice="0.000 4.445 4.445 4.445 0.000 4.445 4.445 4.445 0.000" Properties=species:S:1:pos:R:3 pbc="T T T"
Ba 6.668 6.668 6.668
O 4.445 4.445 6.773
O 4.445 4.445 2.118
O 6.773 4.445 4.445
O 2.118 4.445 4.445
O 4.445 6.773 4.445
O 4.445 2.118 4.445
Pr 4.445 4.445 4.445
Bi 0.000 0.000 0.000
Na 2.223 2.223 2.223
```


Record 6
Computed, not measured: a relaxed structure of BaNaTbBiO6 at the PBE level of DFT.

Values from the calculation:
Its uncorrected formation energy is -1929 meV/atom. Its space group is F-43m, No. 216. The total moment comes out at 0.10 μB per atom.

extended XYZ file:
```
10
Lattice="-4.683 0.121 3.987 -5.705 1.157 -1.989 -4.206 -4.488 -0.058" Properties=species:S:1:pos:R:3 pbc="T T T"
Ba -3.648 -0.803 0.485
Na -10.945 -2.408 1.455
O -6.479 -0.187 -0.550
O -5.710 -3.085 0.442
O -8.884 -0.125 1.498
O -8.639 -2.492 -0.580
O -8.114 -3.023 2.490
O -5.954 -0.719 2.519
Bi 0.000 0.000 0.000
Tb -7.297 -1.605 0.970
```